# 1
{"formula": "KCr2Te", "functional": "PBE", "state": "optimized geometry", "formation_energy_uncorrected_ev_per_atom": 0.270, "spacegroup": "No. 6", "vol_a3_per_atom": 26.136, "density_g_cm3": 4.30, "total_energy_ev_per_atom": -5.60, "lattice_angstrom": [[-0.3893, -0.7307, -4.1339], [2.6210, -2.0544, 0.1163], [-4.5341, -5.7228, 1.4385]], "species": ["Cr", "Cr", "K", "Te"], "fractional_positions": [[0.0000, 0.8739, 0.0699], [0.5000, 0.3738, 0.1061], [0.0000, 0.3774, 0.5045], [0.5000, 0.8750, 0.8195]]}

---

# 2
{"formula": "TbCd3Pd3", "functional": "PBE", "state": "optimized geometry", "spacegroup": "No. 223", "formation_enthalpy_0k_mev_per_atom": 258, "vol_a3_per_atom": 27.327, "density_g_cm3": 7.08, "total_energy_ev_per_atom": -3.02, "de_polymorph_ev_per_atom": 0.724, "lattice_angstrom": [[7.2595, 0.0000, 0.0000], [0.0000, 7.2595, 0.0000], [0.0000, 0.0000, 7.2595]], "species": ["Tb", "Tb", "Pd", "Pd", "Pd", "Pd", "Pd", "Pd", "Cd", "Cd", "Cd", "Cd", "Cd", "Cd"], "fractional_positions": [[0.5000, 0.5000, 0.5000], [0.0000, 0.0000, 0.0000], [0.0000, 0.2500, 0.5000], [0.0000, 0.7500, 0.5000], [0.5000, 0.0000, 0.7500], [0.7500, 0.5000, 0.0000], [0.5000, 0.0000, 0.2500], [0.2500, 0.5000, 0.0000], [0.2500, 0.0000, 0.5000], [0.0000, 0.5000, 0.2500], [0.5000, 0.7500, 0.0000], [0.7500, 0.0000, 0.5000], [0.0000, 0.5000, 0.7500], [0.5000, 0.2500, 0.0000]]}

---

# 3
{"formula": "Zr2NbCuNi", "functional": "PBE", "state": "optimized geometry", "spacegroup": "No. 123", "formation_enthalpy_0k_mev_per_atom": 611, "vol_a3_per_atom": 21.390, "density_g_cm3": 6.17, "total_energy_ev_per_atom": -6.80, "lattice_angstrom": [[4.8312, 0.0000, 0.0000], [0.0000, 4.5823, 0.0000], [0.0000, 0.0000, 4.8312]], "species": ["Ni", "Nb", "Cu", "Zr", "Zr"], "fractional_positions": [[0.0000, 0.0000, 0.0000], [0.0000, 0.5000, 0.0000], [0.5000, 0.5000, 0.5000], [0.0000, 0.0000, 0.5000], [0.5000, 0.0000, 0.0000]]}

---

# 4
{"formula": "Nd2ZnGa2", "functional": "PBE", "state": "optimized geometry", "spacegroup": "No. 12", "formation_enthalpy_0k_mev_per_atom": -558, "vol_a3_per_atom": 23.542, "density_g_cm3": 6.96, "total_energy_ev_per_atom": -3.93, "lattice_angstrom": [[4.5438, 0.0000, 0.0000], [2.2719, 5.4206, -0.3288], [2.2719, 0.2707, 9.5418]], "species": ["Nd", "Nd", "Nd", "Nd", "Zn", "Zn", "Ga", "Ga", "Ga", "Ga"], "fractional_positions": [[0.6869, 0.2922, 0.3339], [0.9111, 0.2722, 0.9056], [0.3131, 0.7078, 0.6661], [0.0889, 0.7278, 0.0944], [0.6185, 0.1099, 0.6531], [0.3815, 0.8901, 0.3469], [0.0752, 0.2853, 0.5644], [0.6325, 0.8545, 0.8805], [0.9248, 0.7147, 0.4356], [0.3675, 0.1455, 0.1195]]}

---

# 5
{"formula": "DyCu4Si4", "functional": "PBE", "state": "optimized geometry", "formation_energy_uncorrected_ev_per_atom": -0.141, "spacegroup": "No. 137", "vol_a3_per_atom": 15.137, "density_g_cm3": 6.45, "total_energy_ev_per_atom": -4.88, "lattice_angstrom": [[-2.4720, -3.8450, 3.5184], [4.3734, 0.5878, 3.7151], [-4.0242, 6.0468, 3.7807]], "species": ["Dy", "Dy", "Cu", "Cu", "Cu", "Cu", "Cu", "Cu", "Cu", "Cu", "Si", "Si", "Si", "Si", "Si", "Si", "Si", "Si"], "fractional_positions": [[0.0000, 0.0000, 0.0000], [0.5000, 0.5000, 0.5000], [0.2310, 0.5000, 0.9132], [0.7690, 0.5000, 0.9132], [0.5000, 0.7690, 0.0868], [0.5000, 0.2310, 0.0868], [0.0000, 0.7310, 0.4132], [0.0000, 0.2690, 0.4132], [0.2690, 0.0000, 0.5868], [0.7310, 0.0000, 0.5868], [0.5000, 0.7918, 0.7959], [0.5000, 0.2082, 0.7959], [0.7918, 0.5000, 0.2041], [0.2082, 0.5000, 0.2041], [0.2918, 0.0000, 0.2959], [0.7082, 0.0000, 0.2959], [0.0000, 0.2918, 0.7041], [0.0000, 0.7082, 0.7041]]}

---

# 6
{"formula": "PuHgPd14", "functional": "PBE", "state": "optimized geometry", "spacegroup": "No. 123", "formation_enthalpy_0k_mev_per_atom": -171, "vol_a3_per_atom": 16.284, "density_g_cm3": 12.33, "total_energy_ev_per_atom": -5.63, "lattice_angstrom": [[-3.4161, 3.3696, -3.1507], [-3.7811, 0.2015, 4.3144], [3.6409, 6.3955, 2.8921]], "species": ["Pu", "Hg", "Pd", "Pd", "Pd", "Pd", "Pd", "Pd", "Pd", "Pd", "Pd", "Pd", "Pd", "Pd", "Pd", "Pd"], "fractional_positions": [[0.3750, 0.3750, 0.5000], [0.8750, 0.8750, 0.5000], [0.8750, 0.8750, 0.0000], [0.3750, 0.3750, 0.0000], [0.8750, 0.3750, 0.5000], [0.8750, 0.3750, 0.0000], [0.3750, 0.8750, 0.5000], [0.3750, 0.8750, 0.0000], [0.6239, 0.1261, 0.2442], [0.6239, 0.1261, 0.7558], [0.1261, 0.6239, 0.2442], [0.1261, 0.6239, 0.7558], [0.6239, 0.6239, 0.2442], [0.6239, 0.6239, 0.7558], [0.1261, 0.1261, 0.2442], [0.1261, 0.1261, 0.7558]]}

---

# 7
{"formula": "Pr6Nd", "functional": "PBE", "state": "optimized geometry", "spacegroup": "No. 148", "formation_enthalpy_0k_mev_per_atom": 111, "vol_a3_per_atom": 36.224, "density_g_cm3": 6.48, "total_energy_ev_per_atom": -4.67, "de_polymorph_ev_per_atom": 0.000, "lattice_angstrom": [[-3.2235, -1.6813, 0.3251], [0.6900, -0.4224, -9.0023], [4.8903, -5.7800, 4.9369]], "species": ["Pr", "Pr", "Pr", "Pr", "Pr", "Pr", "Nd"], "fractional_positions": [[0.5752, 0.5736, 0.8398], [0.7354, 0.1602, 0.7338], [0.9985, 0.7338, 0.5736], [0.0015, 0.2662, 0.4264], [0.2646, 0.8398, 0.2662], [0.4248, 0.4264, 0.1602], [0.5000, 0.0000, 0.0000]]}

---

# 8
{"formula": "Pm2YI6", "functional": "PBE", "state": "optimized geometry", "formation_energy_uncorrected_ev_per_atom": -1.206, "spacegroup": "No. 146", "vol_a3_per_atom": 40.419, "density_g_cm3": 5.21, "total_energy_ev_per_atom": -4.01, "de_polymorph_ev_per_atom": 0.067, "lattice_angstrom": [[-0.6196, 5.1585, -5.6341], [-6.6946, 0.9482, -3.6083], [-4.3038, 7.0239, 1.6916]], "species": ["Pm", "Pm", "Y", "I", "I", "I", "I", "I", "I"], "fractional_positions": [[0.6828, 0.6828, 0.9517], [0.5191, 0.5191, 0.4427], [0.3553, 0.3553, 0.9341], [0.7808, 0.4188, 0.6969], [0.1035, 0.7808, 0.6969], [0.4188, 0.1035, 0.6969], [0.2543, 0.6052, 0.1945], [0.9460, 0.2543, 0.1945], [0.6052, 0.9460, 0.1945]]}